# 1
A relaxed structure of KNpTl2O6. Source: Alexandria, functional PBE.

a = 5.8309 Å, b = 6.1352 Å, c = 6.9524 Å
α = 95.18°, β = 111.07°, γ = 117.58°
Fractional coordinates of all 10 atoms:
K  0.0000  0.0000  0.0000
Np  0.9624  0.5037  0.4218
Tl  0.5321  0.2848  0.7798
Tl  0.6235  0.8617  0.3883
O  0.0606  0.4322  0.2021
O  0.0645  0.2735  0.5864
O  0.4247  0.8354  0.5930
O  0.5538  0.1659  0.2563
O  0.7874  0.7072  0.2330
O  0.8983  0.6329  0.6443

Results
* total magnetic moment: 0.00 μB per formula unit
* formation energy from raw total energies: -1660 meV/atom
* space group: P1

***

# 2
A relaxed structure of GeH4Br3N. Source: Alexandria, functional PBE.

a = 10.0458 Å, b = 4.2665 Å, c = 15.6635 Å
α = 90.00°, β = 90.00°, γ = 90.00°
Fractional coordinates of all 36 atoms:
Ge  0.1600  0.2500  0.0666
Ge  0.3400  0.7500  0.5666
Ge  0.6600  0.2500  0.4334
Ge  0.8400  0.7500  0.9334
H  0.0009  0.7500  0.3818
H  0.0247  0.2500  0.7252
H  0.1074  0.5559  0.3134
H  0.1074  0.9441  0.3134
H  0.3926  0.0559  0.8134
H  0.3926  0.4441  0.8134
H  0.4753  0.7500  0.2252
H  0.4991  0.2500  0.8818
H  0.5009  0.7500  0.1182
H  0.5247  0.2500  0.7748
H  0.6074  0.5559  0.1866
H  0.6074  0.9441  0.1866
H  0.8926  0.0559  0.6866
H  0.8926  0.4441  0.6866
H  0.9753  0.7500  0.2748
H  0.9991  0.2500  0.6182
Br  0.0205  0.2500  0.8924
Br  0.1691  0.2500  0.5089
Br  0.2384  0.7500  0.7236
Br  0.2616  0.2500  0.2236
Br  0.3309  0.7500  0.0089
Br  0.4795  0.7500  0.3924
Br  0.5205  0.2500  0.6076
Br  0.6691  0.2500  0.9911
Br  0.7384  0.7500  0.7764
Br  0.7616  0.2500  0.2764
Br  0.8309  0.7500  0.4911
Br  0.9795  0.7500  0.1076
N  0.0469  0.7500  0.3223
N  0.4531  0.2500  0.8223
N  0.5469  0.7500  0.1777
N  0.9531  0.2500  0.6777

Results
* total magnetic moment: 0.00 μB per formula unit
* N(E_F): 0.000 states/eV/f.u.
* polymorph energy (0 for the lowest one): 0.014 eV/atom
* space group: Pnma

***

# 3
A relaxed structure of ZnCrW2. Source: Alexandria, functional PBE.

a = 3.8005 Å, b = 3.8005 Å, c = 8.1089 Å
α = 90.00°, β = 90.00°, γ = 90.00°
Fractional coordinates of all 8 atoms:
Zn  0.0000  0.0000  0.0000
Zn  0.5000  0.5000  0.5000
Cr  0.0000  0.0000  0.5000
Cr  0.5000  0.5000  0.0000
W  0.0000  0.5000  0.2500
W  0.0000  0.5000  0.7500
W  0.5000  0.0000  0.2500
W  0.5000  0.0000  0.7500

Results
* total magnetic moment: 0.48 μB per formula unit
* N(E_F): 2.195 states/eV/f.u.
* calculated formation energy: 0.369 eV/atom
* space group: I4/mmm

***

# 4
A relaxed structure of La3Sm5Te8. Source: Alexandria, functional PBE.

a = 8.9878 Å, b = 8.9878 Å, c = 8.9878 Å
α = 60.08°, β = 60.08°, γ = 60.08°
Fractional coordinates of all 16 atoms:
La  0.0000  0.5000  0.5000
La  0.5000  0.0000  0.5000
La  0.5000  0.5000  0.0000
Sm  0.0000  0.0000  0.0000
Sm  0.0000  0.0000  0.5000
Sm  0.0000  0.5000  0.0000
Sm  0.5000  0.0000  0.0000
Sm  0.5000  0.5000  0.5000
Te  0.2440  0.7500  0.7500
Te  0.2469  0.2469  0.2469
Te  0.2500  0.2500  0.7560
Te  0.2500  0.7560  0.2500
Te  0.7500  0.2440  0.7500
Te  0.7500  0.7500  0.2440
Te  0.7531  0.7531  0.7531
Te  0.7560  0.2500  0.2500

Results
* total magnetic moment: 0.00 μB per formula unit
* N(E_F): 12.615 states/eV/f.u.
* formation energy from raw total energies: -1461 meV/atom
* space group: R-3m

***

# 5
A relaxed structure of AcThPbAu. Source: Alexandria, functional PBE.

a = 7.8640 Å, b = 7.8640 Å, c = 7.8640 Å
α = 90.00°, β = 90.00°, γ = 90.00°
Fractional coordinates of all 16 atoms:
Ac  0.0000  0.0000  0.0000
Ac  0.0000  0.5000  0.5000
Ac  0.5000  0.0000  0.5000
Ac  0.5000  0.5000  0.0000
Th  0.0000  0.0000  0.5000
Th  0.0000  0.5000  0.0000
Th  0.5000  0.0000  0.0000
Th  0.5000  0.5000  0.5000
Pb  0.2500  0.2500  0.7500
Pb  0.2500  0.7500  0.2500
Pb  0.7500  0.2500  0.2500
Pb  0.7500  0.7500  0.7500
Au  0.2500  0.2500  0.2500
Au  0.2500  0.7500  0.7500
Au  0.7500  0.2500  0.7500
Au  0.7500  0.7500  0.2500

Results
* total magnetic moment: 0.00 μB per formula unit
* N(E_F): 5.971 states/eV/f.u.
* calculated formation energy: -0.396 eV/atom
* space group: F-43m

***

# 6
A relaxed structure of PrBePd6. Source: Alexandria, functional PBE.

a = 3.9267 Å, b = 3.9267 Å, c = 9.1052 Å
α = 90.00°, β = 90.00°, γ = 90.00°
Fractional coordinates of all 8 atoms:
Pr  0.0000  0.0000  0.0000
Be  0.0000  0.0000  0.5000
Pd  0.0000  0.5000  0.3500
Pd  0.0000  0.5000  0.6500
Pd  0.5000  0.0000  0.3500
Pd  0.5000  0.0000  0.6500
Pd  0.5000  0.5000  0.1442
Pd  0.5000  0.5000  0.8558

Results
* total magnetic moment: 0.00 μB per formula unit
* N(E_F): 6.396 states/eV/f.u.
* calculated formation energy: -0.374 eV/atom
* space group: P4/mmm

***

# 7
A relaxed structure of Ta2FeRu. Source: Alexandria, functional PBE.

a = 2.8268 Å, b = 4.8294 Å, c = 9.6699 Å
α = 90.00°, β = 90.00°, γ = 90.00°
Fractional coordinates of all 8 atoms:
Ta  0.0000  0.0000  0.2428
Ta  0.0000  0.0000  0.7572
Ta  0.5000  0.5000  0.2572
Ta  0.5000  0.5000  0.7428
Fe  0.0000  0.0000  0.0000
Fe  0.5000  0.5000  0.5000
Ru  0.0000  0.0000  0.5000
Ru  0.5000  0.5000  0.0000

Results
* total magnetic moment: 1.29 μB per formula unit
* N(E_F): 4.218 states/eV/f.u.
* calculated formation energy: 0.687 eV/atom
* space group: Immm

***

# 8
A relaxed structure of LiCo3W. Source: Alexandria, functional PBE.

a = 3.8237 Å, b = 3.8237 Å, c = 3.8237 Å
α = 90.00°, β = 90.00°, γ = 90.00°
Fractional coordinates of all 5 atoms:
Li  0.0000  0.0000  0.0000
Co  0.0000  0.0000  0.5000
Co  0.0000  0.5000  0.0000
Co  0.5000  0.0000  0.0000
W  0.5000  0.5000  0.5000

Results
* total magnetic moment: 0.00 μB per formula unit
* N(E_F): 1.024 states/eV/f.u.
* polymorph energy (0 for the lowest one): 0.000 eV/atom
* calculated formation energy: 0.803 eV/atom
* space group: Pm-3m

***

# 9
A relaxed structure of LiCd3Au2. Source: Alexandria, functional PBE.

a = 7.2984 Å, b = 7.2984 Å, c = 8.7268 Å
α = 119.90°, β = 119.90°, γ = 37.16°
Fractional coordinates of all 12 atoms:
Li  0.1190  0.1190  0.0470
Li  0.8810  0.8810  0.9530
Cd  0.0382  0.0382  0.3567
Cd  0.2884  0.2884  0.4286
Cd  0.3596  0.3596  0.1304
Cd  0.6404  0.6404  0.8696
Cd  0.7116  0.7116  0.5714
Cd  0.9618  0.9618  0.6433
Au  0.1968  0.1968  0.7496
Au  0.4211  0.4211  0.8133
Au  0.5789  0.5789  0.1867
Au  0.8032  0.8032  0.2504

Results
* total magnetic moment: 0.00 μB per formula unit
* N(E_F): 1.330 states/eV/f.u.
* polymorph energy (0 for the lowest one): 0.000 eV/atom
* calculated formation energy: -0.277 eV/atom
* space group: C2/m

***

# 10
A relaxed structure of Mg7In5. Source: Alexandria, functional PBE.

a = 8.2688 Å, b = 8.2688 Å, c = 12.2280 Å
α = 120.12°, β = 120.12°, γ = 23.37°
Fractional coordinates of all 12 atoms:
Mg  0.0000  0.0000  0.0000
Mg  0.1437  0.1437  0.7519
Mg  0.1672  0.1672  0.5027
Mg  0.4718  0.4718  0.7467
Mg  0.5282  0.5282  0.2533
Mg  0.8328  0.8328  0.4973
Mg  0.8563  0.8563  0.2481
In  0.1919  0.1919  0.2574
In  0.3383  0.3383  0.0083
In  0.5000  0.5000  0.5000
In  0.6617  0.6617  0.9917
In  0.8081  0.8081  0.7426

Results
* total magnetic moment: 0.00 μB per formula unit
* N(E_F): 5.279 states/eV/f.u.
* calculated formation energy: -0.054 eV/atom
* space group: C2/m

***

# 11
A relaxed structure of LiErCoC. Source: Alexandria, functional PBE.

a = 3.3617 Å, b = 3.3617 Å, c = 10.5751 Å
α = 90.00°, β = 90.00°, γ = 90.00°
Fractional coordinates of all 8 atoms:
Li  0.2500  0.7500  0.0000
Li  0.7500  0.2500  0.0000
Er  0.2500  0.2500  0.2829
Er  0.7500  0.7500  0.7171
Co  0.2500  0.7500  0.5000
Co  0.7500  0.2500  0.5000
C  0.2500  0.2500  0.6047
C  0.7500  0.7500  0.3953

Results
* total magnetic moment: 0.00 μB per formula unit
* N(E_F): 2.960 states/eV/f.u.
* calculated formation energy: -0.053 eV/atom
* space group: P4/nmm

***

# 12
A relaxed structure of Sc2Ni2Ge3. Source: Alexandria, functional PBE.

a = 8.8300 Å, b = 8.8300 Å, c = 6.6043 Å
α = 90.00°, β = 90.00°, γ = 154.05°
Fractional coordinates of all 14 atoms:
Sc  0.0493  0.9507  0.7500
Sc  0.1582  0.8418  0.2500
Sc  0.8418  0.1582  0.7500
Sc  0.9507  0.0493  0.2500
Ni  0.3011  0.6989  0.0525
Ni  0.3011  0.6989  0.4475
Ni  0.6989  0.3011  0.5525
Ni  0.6989  0.3011  0.9475
Ge  0.2217  0.7783  0.7500
Ge  0.4317  0.5683  0.5576
Ge  0.4317  0.5683  0.9424
Ge  0.5683  0.4317  0.0576
Ge  0.5683  0.4317  0.4424
Ge  0.7783  0.2217  0.2500

Results
* total magnetic moment: 0.00 μB per formula unit
* N(E_F): 3.762 states/eV/f.u.
* calculated formation energy: -0.685 eV/atom
* space group: Cmcm

***

Please write out number 9 again, unchanged.
A relaxed structure of LiCd3Au2. Source: Alexandria, functional PBE.

a = 7.2984 Å, b = 7.2984 Å, c = 8.7268 Å
α = 119.90°, β = 119.90°, γ = 37.16°
Fractional coordinates of all 12 atoms:
Li  0.1190  0.1190  0.0470
Li  0.8810  0.8810  0.9530
Cd  0.0382  0.0382  0.3567
Cd  0.2884  0.2884  0.4286
Cd  0.3596  0.3596  0.1304
Cd  0.6404  0.6404  0.8696
Cd  0.7116  0.7116  0.5714
Cd  0.9618  0.9618  0.6433
Au  0.1968  0.1968  0.7496
Au  0.4211  0.4211  0.8133
Au  0.5789  0.5789  0.1867
Au  0.8032  0.8032  0.2504

Results
* total magnetic moment: 0.00 μB per formula unit
* N(E_F): 1.330 states/eV/f.u.
* polymorph energy (0 for the lowest one): 0.000 eV/atom
* calculated formation energy: -0.277 eV/atom
* space group: C2/m

***

Q: total magnetic moment of number 11 (LiErCoC)?
A: 0.00 μB per formula unit